Record 1
Compound: CrReRh4
Source: the Alexandria database
Functional: GGA-PBE
Structure: relaxed

Structure (POSCAR):
```
CrReRh4
1.0
0.000 3.565 3.565
3.565 0.000 3.565
3.565 3.565 0.000
Re Rh Cr
1 4 1
Direct
0.000 0.000 0.000
0.625 0.126 0.625
0.126 0.625 0.625
0.625 0.625 0.625
0.625 0.625 0.126
0.250 0.250 0.250
```

Computed properties:
The density of states at the Fermi level comes out at 1.44 states/eV/atom. For the formation energy, the calculation gives 2.60 eV/f.u. As for the energy above the most stable polymorph in this dataset: 570 meV per atom.

Record 2
Compound: AgAsHSe2
Source: the Alexandria database
Functional: GGA-PBE
Structure: relaxed

Structure (POSCAR):
```
AgAsHSe2
1.0
5.152 0.000 0.000
0.000 5.152 0.000
0.000 0.000 5.057
As H Se Ag
1 1 2 1
Direct
0.000 0.000 0.500
0.500 0.500 0.500
0.000 0.500 0.000
0.500 0.000 0.000
0.000 0.000 0.000
```

Computed properties:
The density of states at the Fermi level comes out at 0.97 states/eV/atom. As for the energy above the most stable polymorph in this dataset: 644 meV per atom.

Record 3
Compound: TaTl2Cu
Source: the Alexandria database
Functional: GGA-PBE
Structure: relaxed

Structure (POSCAR):
```
TaTl2Cu
1.0
-3.926 -1.358 2.003
0.911 -3.094 -0.312
2.939 -1.298 4.881
Tl Cu Ta
2 1 1
Direct
0.500 0.285 0.303
0.000 0.974 0.930
0.000 0.686 0.502
0.500 0.555 0.765
```

Computed properties:
The density of states at the Fermi level comes out at 0.65 states/eV/atom. For the formation energy, the calculation gives 2.26 eV/f.u. As for the energy above the most stable polymorph in this dataset: 135 meV per atom.